Tb2Co2Au | PBE | relaxed

Calculated values
DFT total energy   -5.779 eV per atom
Symmetry   No. 65
Total magnetic moment   0.21 μB per cell
DFT formation energy   -0.43 eV/atom

Cell lengths 3.843, 3.764, 6.958 Å; angles 105.69, 90.00, 90.00 degrees
Each line ends with the local moment (μB).
Positions (direct):
Tb 0.500 0.633 0.265  -0.03
Tb 0.500 0.367 0.735  -0.03
Au 0.000 0.000 0.000  0.00
Co 0.000 0.795 0.591  0.14
Co 0.000 0.205 0.409  0.14

=====

TbZrCoAu | PBE | relaxed

Calculated values
DFT total energy   -6.196 eV per atom
Symmetry   No. 216
Total magnetic moment   0.00 μB per cell
DFT formation energy   -0.31 eV/atom

Cell lengths 4.821, 4.821, 4.821 Å; angles 60.00, 60.00, 60.00 degrees
Positions (direct):
Co 0.500 0.500 0.500
Au 0.000 0.000 0.000
Tb 0.750 0.750 0.750
Zr 0.250 0.250 0.250

=====

Co4TcAu | PBE | relaxed

Calculated values
DFT total energy   -6.780 eV per atom
Symmetry   No. 216
Total magnetic moment   8.13 μB per cell
DFT formation energy   0.23 eV/atom

Cell lengths 4.770, 4.770, 4.770 Å; angles 60.00, 60.00, 60.00 degrees
Each line ends with the local moment (μB).
Positions (direct):
Co 0.625 0.625 0.126  1.75
Co 0.625 0.625 0.625  1.75
Co 0.625 0.126 0.625  1.75
Co 0.126 0.625 0.625  1.75
Au 0.000 0.000 0.000  0.04
Tc 0.250 0.250 0.250  1.10